## BaTlZn2Pt (PBE)

Data for a relaxed BaTlZn2Pt crystal.

Values from the calculation:
- ΔE_f: -32.28 kJ/mol of atoms
- Total magnetic moment: 0.00 μB/atom

CIF file:
```
data_BaTlZn2Pt
_chemical_formula_sum 'Ba1 Tl1 Zn2 Pt1'
_cell_length_a 4.998
_cell_length_b 4.998
_cell_length_c 5.318
_cell_angle_alpha 90.00
_cell_angle_beta 90.00
_cell_angle_gamma 90.00
_symmetry_space_group_name_H-M 'P 4/m m m'
_symmetry_Int_Tables_number 123
_symmetry_space_group_name_Hall '-P 4 2'
loop_
_atom_site_label
_atom_site_fract_x
_atom_site_fract_y
_atom_site_fract_z
_atom_site_occupancy
Ba1 0.000 0.000 0.000 1
Tl1 0.500 0.500 0.000 1
Zn1 0.000 0.500 0.500 1
Pt1 0.500 0.500 0.500 1
```


## YBP2O (PBE)

Data for a relaxed YBP2O crystal.

Values from the calculation:
- Total magnetic moment: 0.00 μB/atom
- Energy relative to the lowest polymorph listed for this composition: 0 meV per atom
- Formation energy without anion corrections: -310 meV/atom

CIF file:
```
data_YBP2O
_chemical_formula_sum 'Y1 B1 P2 O1'
_cell_length_a 3.748
_cell_length_b 3.748
_cell_length_c 5.258
_cell_angle_alpha 90.00
_cell_angle_beta 90.00
_cell_angle_gamma 90.00
_symmetry_space_group_name_H-M 'P 4/m m m'
_symmetry_Int_Tables_number 123
_symmetry_space_group_name_Hall '-P 4 2'
loop_
_atom_site_label
_atom_site_fract_x
_atom_site_fract_y
_atom_site_fract_z
_atom_site_occupancy
Y1 0.000 0.000 0.000 1
B1 0.500 0.500 0.500 1
P1 0.000 0.500 0.500 1
O1 0.500 0.500 0.000 1
```


## LiYAl2 (PBE)

Data for a relaxed LiYAl2 crystal.

Values from the calculation:
- ΔE_f: 1.85 kJ/mol of atoms
- Total magnetic moment: 0.00 μB/atom
- Energy relative to the lowest polymorph listed for this composition: 305 meV per atom

CIF file:
```
data_LiYAl2
_chemical_formula_sum 'Li3 Y3 Al6'
_cell_length_a 3.1692
_cell_length_b 3.1692
_cell_length_c 29.4967
_cell_angle_alpha 90.00
_cell_angle_beta 90.00
_cell_angle_gamma 120.00
_symmetry_space_group_name_H-M 'R -3 m'
_symmetry_Int_Tables_number 166
_symmetry_space_group_name_Hall '-R 3 2"'
loop_
_atom_site_label
_atom_site_fract_x
_atom_site_fract_y
_atom_site_fract_z
_atom_site_occupancy
Li1 0.0000 0.0000 0.0000 1
Y1 0.0000 0.0000 0.5000 1
Al1 0.0000 0.0000 0.2554 1
```


## Mg4SnPd5 (PBE)

Data for a relaxed Mg4SnPd5 crystal.

Values from the calculation:
- ΔE_f: -65.14 kJ/mol of atoms
- Total magnetic moment: 0.00 μB/atom
- Energy relative to the lowest polymorph listed for this composition: 0 meV per atom

CIF file:
```
data_Mg4SnPd5
_chemical_formula_sum 'Mg4 Sn1 Pd5'
_cell_length_a 3.249
_cell_length_b 3.249
_cell_length_c 15.811
_cell_angle_alpha 90.00
_cell_angle_beta 90.00
_cell_angle_gamma 90.00
_symmetry_space_group_name_H-M 'P 4/m m m'
_symmetry_Int_Tables_number 123
_symmetry_space_group_name_Hall '-P 4 2'
loop_
_atom_site_label
_atom_site_fract_x
_atom_site_fract_y
_atom_site_fract_z
_atom_site_occupancy
Mg1 0.000 0.000 0.097 1
Mg2 0.000 0.000 0.293 1
Sn1 0.000 0.000 0.500 1
Pd1 0.500 0.500 0.000 1
Pd2 0.500 0.500 0.194 1
Pd3 0.500 0.500 0.392 1
```


## NaMg5In6 (PBE)

Data for a relaxed NaMg5In6 crystal.

Values from the calculation:
- ΔE_f: -8.61 kJ/mol of atoms
- Total magnetic moment: 0.00 μB/atom
- Energy relative to the lowest polymorph listed for this composition: 0 meV per atom

CIF file:
```
data_NaMg5In6
_chemical_formula_sum 'Na2 Mg10 In12'
_cell_length_a 9.746
_cell_length_b 14.140
_cell_length_c 4.717
_cell_angle_alpha 90.00
_cell_angle_beta 118.09
_cell_angle_gamma 90.00
_symmetry_space_group_name_H-M 'C 1 2/m 1'
_symmetry_Int_Tables_number 12
_symmetry_space_group_name_Hall '-C 2y'
loop_
_atom_site_label
_atom_site_fract_x
_atom_site_fract_y
_atom_site_fract_z
_atom_site_occupancy
Na1 0.000 0.000 0.000 1
Mg1 0.000 0.167 0.500 1
Mg2 0.000 0.330 0.000 1
Mg3 0.000 0.500 0.500 1
In1 0.242 0.500 0.242 1
In2 0.246 0.332 0.747 1
```


## NpCu2Cl8 (PBE)

Data for a relaxed NpCu2Cl8 crystal.

Values from the calculation:
- Total magnetic moment: 0.08 μB/atom
- Energy relative to the lowest polymorph listed for this composition: 10 meV per atom
- Formation energy without anion corrections: -958 meV/atom

CIF file:
```
data_NpCu2Cl8
_chemical_formula_sum 'Np4 Cu8 Cl32'
_cell_length_a 17.730
_cell_length_b 8.273
_cell_length_c 12.410
_cell_angle_alpha 90.00
_cell_angle_beta 129.79
_cell_angle_gamma 90.00
_symmetry_space_group_name_H-M 'C 1 2/c 1'
_symmetry_Int_Tables_number 15
_symmetry_space_group_name_Hall '-C 2yc'
loop_
_atom_site_label
_atom_site_fract_x
_atom_site_fract_y
_atom_site_fract_z
_atom_site_occupancy
Np1 0.000 0.015 0.250 1
Cu1 0.094 0.262 0.517 1
Cl1 0.066 0.238 0.186 1
Cl2 0.070 0.199 0.693 1
Cl3 0.159 0.031 0.506 1
Cl4 0.173 0.483 0.600 1
```


## LaY2Zr (PBE)

Data for a relaxed LaY2Zr crystal.

Values from the calculation:
- ΔE_f: 10.65 kJ/mol of atoms
- Total magnetic moment: 0.00 μB/atom
- Energy relative to the lowest polymorph listed for this composition: 35 meV per atom

CIF file:
```
data_LaY2Zr
_chemical_formula_sum 'La1 Y2 Zr1'
_cell_length_a 3.493
_cell_length_b 4.910
_cell_length_c 7.072
_cell_angle_alpha 90.00
_cell_angle_beta 90.00
_cell_angle_gamma 90.00
_symmetry_space_group_name_H-M 'P m m m'
_symmetry_Int_Tables_number 47
_symmetry_space_group_name_Hall '-P 2 2'
loop_
_atom_site_label
_atom_site_fract_x
_atom_site_fract_y
_atom_site_fract_z
_atom_site_occupancy
La1 0.000 0.000 0.000 1
Y1 0.500 0.500 0.269 1
Zr1 0.000 0.000 0.500 1
```


## NiHgMo (PBE)

Data for a relaxed NiHgMo crystal.

Values from the calculation:
- ΔE_f: 27.41 kJ/mol of atoms
- Total magnetic moment: 0.00 μB/atom
- Energy relative to the lowest polymorph listed for this composition: 40 meV per atom

CIF file:
```
data_NiHgMo
_chemical_formula_sum 'Ni2 Hg2 Mo2'
_cell_length_a 2.869
_cell_length_b 2.869
_cell_length_c 11.517
_cell_angle_alpha 90.00
_cell_angle_beta 90.00
_cell_angle_gamma 90.00
_symmetry_space_group_name_H-M 'I 4 m m'
_symmetry_Int_Tables_number 107
_symmetry_space_group_name_Hall 'I 4 -2'
loop_
_atom_site_label
_atom_site_fract_x
_atom_site_fract_y
_atom_site_fract_z
_atom_site_occupancy
Ni1 0.000 0.000 0.000 1
Hg1 0.000 0.000 0.671 1
Mo1 0.000 0.000 0.366 1
```


## CePm3Nd3 (PBE)

Data for a relaxed CePm3Nd3 crystal.

Values from the calculation:
- ΔE_f: 20.45 kJ/mol of atoms
- Total magnetic moment: 0.01 μB/atom

CIF file:
```
data_CePm3Nd3
_chemical_formula_sum 'Ce4 Pm12 Nd12'
_cell_length_a 11.510
_cell_length_b 11.802
_cell_length_c 7.235
_cell_angle_alpha 90.00
_cell_angle_beta 90.00
_cell_angle_gamma 90.00
_symmetry_space_group_name_H-M 'C m m m'
_symmetry_Int_Tables_number 65
_symmetry_space_group_name_Hall '-C 2 2'
loop_
_atom_site_label
_atom_site_fract_x
_atom_site_fract_y
_atom_site_fract_z
_atom_site_occupancy
Ce1 0.000 0.215 0.000 1
Pm1 0.000 0.500 0.246 1
Pm2 0.250 0.250 0.242 1
Nd1 0.000 0.226 0.500 1
Nd2 0.204 0.000 0.000 1
Nd3 0.204 0.000 0.500 1
```


## LiNiBr (PBE)

Data for a relaxed LiNiBr crystal.

Values from the calculation:
- Total magnetic moment: 0.00 μB/atom
- Energy relative to the lowest polymorph listed for this composition: 261 meV per atom
- Formation energy without anion corrections: -192 meV/atom

CIF file:
```
data_LiNiBr
_chemical_formula_sum 'Li2 Ni2 Br2'
_cell_length_a 4.0286
_cell_length_b 4.0286
_cell_length_c 7.1778
_cell_angle_alpha 90.00
_cell_angle_beta 90.00
_cell_angle_gamma 120.00
_symmetry_space_group_name_H-M 'P -6 m 2'
_symmetry_Int_Tables_number 187
_symmetry_space_group_name_Hall 'P -6 2'
loop_
_atom_site_label
_atom_site_fract_x
_atom_site_fract_y
_atom_site_fract_z
_atom_site_occupancy
Li1 0.0000 0.0000 0.0000 1
Li2 0.0000 0.0000 0.5000 1
Ni1 0.3333 0.6667 0.2273 1
Br1 0.6667 0.3333 0.2503 1
```


## Li3In (PBE)

Data for a relaxed Li3In crystal.

Values from the calculation:
- ΔE_f: -18.16 kJ/mol of atoms
- Total magnetic moment: 0.06 μB/atom
- Energy relative to the lowest polymorph listed for this composition: 48 meV per atom

CIF file:
```
data_Li3In
_chemical_formula_sum 'Li3 In1'
_cell_length_a 4.237
_cell_length_b 4.237
_cell_length_c 4.237
_cell_angle_alpha 90.00
_cell_angle_beta 90.00
_cell_angle_gamma 90.00
_symmetry_space_group_name_H-M 'P m -3 m'
_symmetry_Int_Tables_number 221
_symmetry_space_group_name_Hall '-P 4 2 3'
loop_
_atom_site_label
_atom_site_fract_x
_atom_site_fract_y
_atom_site_fract_z
_atom_site_occupancy
Li1 0.000 0.000 0.500 1
In1 0.500 0.500 0.500 1
```


## MgCo2SiSe (PBE)

Data for a relaxed MgCo2SiSe crystal.

Values from the calculation:
- Total magnetic moment: 0.55 μB/atom
- Formation energy without anion corrections: 1373 meV/atom

CIF file:
```
data_MgCo2SiSe
_chemical_formula_sum 'Mg1 Co2 Si1 Se1'
_cell_length_a 4.532
_cell_length_b 4.532
_cell_length_c 4.723
_cell_angle_alpha 90.00
_cell_angle_beta 90.00
_cell_angle_gamma 90.00
_symmetry_space_group_name_H-M 'P 4/m m m'
_symmetry_Int_Tables_number 123
_symmetry_space_group_name_Hall '-P 4 2'
loop_
_atom_site_label
_atom_site_fract_x
_atom_site_fract_y
_atom_site_fract_z
_atom_site_occupancy
Mg1 0.000 0.000 0.000 1
Co1 0.000 0.500 0.000 1
Si1 0.000 0.000 0.500 1
Se1 0.500 0.500 0.500 1
```


Number 1: energy -2.910 eV per atom. Number 2: energy -6.094 eV per atom. Number 3: energy -3.947 eV per atom. Number 4: energy -4.310 eV per atom. Number 5: energy -2.233 eV per atom. Number 6: energy -4.222 eV per atom. Number 7: energy -6.491 eV per atom. Number 8: energy -5.354 eV per atom. Number 9: energy -4.715 eV per atom. Number 10: energy -3.314 eV per atom. Number 11: energy -2.308 eV per atom. Number 12: energy -3.570 eV per atom.